First-principles (PBE) data for crystalline Na3ReOs at its relaxed geometry, as listed in the Alexandria database.

Cell lengths 5.447, 5.447, 5.447 Å; angles 90.00, 90.00, 90.00 degrees
Atoms (fractional coordinates):
Na  0.000  0.000  0.500
Na  0.000  0.500  0.000
Na  0.500  0.000  0.000
Re  0.000  0.000  0.000
Os  0.500  0.500  0.500

Computed properties:
ΔH_f (0 K): 2.590 eV/atom
DOS(E_F): 2.66 states/eV per cell
magnetization: 6.01 μB/cell
space-group type: No. 221
distance to the lowest polymorph of the same formula: 0 meV per atom
crystal system: cubic